Arrangement i

# PBE Sm4MgTl2, relaxed
data_Sm4MgTl2
_cell_length_a 6.801
_cell_length_b 8.777
_cell_length_c 8.790
_cell_angle_alpha 78.48
_cell_angle_beta 67.25
_cell_angle_gamma 67.24
_space_group_name_H-M_alt 'P 1'
_space_group_IT_number 1
_space_group_name_Hall 'P 1'
loop_
_atom_site_label
_atom_site_type_symbol
_atom_site_fract_x
_atom_site_fract_y
_atom_site_fract_z
_atom_site_occupancy
Sm1 Sm 0.000 0.000 0.000 1
Sm2 Sm 0.000 0.461 0.539 1
Sm3 Sm 0.075 0.402 0.939 1
Sm4 Sm 0.107 0.869 0.408 1
Sm5 Sm 0.584 0.401 0.940 1
Sm6 Sm 0.616 0.869 0.408 1
Sm7 Sm 0.691 0.810 0.809 1
Sm8 Sm 0.692 0.271 0.348 1
Mg1 Mg 0.101 0.630 0.169 1
Mg2 Mg 0.591 0.641 0.179 1
Tl1 Tl 0.345 0.135 0.174 1
Tl2 Tl 0.346 0.136 0.674 1
Tl3 Tl 0.346 0.636 0.674 1
Tl4 Tl 0.846 0.135 0.674 1
# **Total magnetization**: 0.000 μB/atom

---

Arrangement ii

# PBE Sm4MgTl2, relaxed
data_Sm4MgTl2
_cell_length_a 9.101
_cell_length_b 9.101
_cell_length_c 9.101
_cell_angle_alpha 34.36
_cell_angle_beta 34.36
_cell_angle_gamma 34.36
_space_group_name_H-M_alt 'P 1'
_space_group_IT_number 1
_space_group_name_Hall 'P 1'
loop_
_atom_site_label
_atom_site_type_symbol
_atom_site_fract_x
_atom_site_fract_y
_atom_site_fract_z
_atom_site_occupancy
Sm1 Sm 0.114 0.114 0.114 1
Sm2 Sm 0.368 0.368 0.368 1
Sm3 Sm 0.632 0.632 0.632 1
Sm4 Sm 0.886 0.886 0.886 1
Mg1 Mg 0.500 0.500 0.500 1
Tl1 Tl 0.243 0.243 0.243 1
Tl2 Tl 0.757 0.757 0.757 1
# **Total magnetization**: 0.001 μB/atom

---

Here is how they stack up, most stable first: arrangement ii, arrangement i.

---

Arrangement i

# PBE Sm5Mg2Tl, relaxed
data_Sm5Mg2Tl
_cell_length_a 9.626
_cell_length_b 9.626
_cell_length_c 9.626
_cell_angle_alpha 130.97
_cell_angle_beta 130.97
_cell_angle_gamma 71.86
_space_group_name_H-M_alt 'P 1'
_space_group_IT_number 1
_space_group_name_Hall 'P 1'
loop_
_atom_site_label
_atom_site_type_symbol
_atom_site_fract_x
_atom_site_fract_y
_atom_site_fract_z
_atom_site_occupancy
Sm1 Sm 0.000 0.000 0.000 1
Sm2 Sm 0.004 0.504 0.825 1
Sm3 Sm 0.179 0.004 0.500 1
Sm4 Sm 0.321 0.821 0.825 1
Sm5 Sm 0.496 0.321 0.500 1
Sm6 Sm 0.500 0.500 0.000 1
Sm7 Sm 0.504 0.679 0.500 1
Sm8 Sm 0.679 0.179 0.175 1
Sm9 Sm 0.821 0.996 0.500 1
Sm10 Sm 0.996 0.496 0.175 1
Mg1 Mg 0.127 0.373 0.500 1
Mg2 Mg 0.373 0.873 0.246 1
Mg3 Mg 0.627 0.127 0.754 1
Mg4 Mg 0.873 0.627 0.500 1
Tl1 Tl 0.250 0.250 0.000 1
Tl2 Tl 0.750 0.750 0.000 1
# **Total magnetization**: 0.000 μB/atom

---

Arrangement ii

# PBE Sm5Mg2Tl, relaxed
data_Sm5Mg2Tl
_cell_length_a 6.756
_cell_length_b 6.756
_cell_length_c 6.756
_cell_angle_alpha 108.69
_cell_angle_beta 108.69
_cell_angle_gamma 111.05
_space_group_name_H-M_alt 'P 1'
_space_group_IT_number 1
_space_group_name_Hall 'P 1'
loop_
_atom_site_label
_atom_site_type_symbol
_atom_site_fract_x
_atom_site_fract_y
_atom_site_fract_z
_atom_site_occupancy
Sm1 Sm 0.000 0.000 0.000 1
Sm2 Sm 0.500 0.500 0.500 1
Sm3 Sm 0.500 0.999 0.000 1
Sm4 Sm 0.999 0.500 0.000 1
Sm5 Sm 0.999 0.999 0.500 1
Mg1 Mg 0.000 0.500 0.500 1
Mg2 Mg 0.500 0.000 0.500 1
Tl1 Tl 0.499 0.499 0.000 1
# **Total magnetization**: 0.000 μB/atom

---

Here is how they stack up, most stable first: arrangement ii, arrangement i.

---

Arrangement i

# PBE Sm6Mg2Tl, relaxed
data_Sm6Mg2Tl
_cell_length_a 8.766
_cell_length_b 8.766
_cell_length_c 11.719
_cell_angle_alpha 129.07
_cell_angle_beta 129.07
_cell_angle_gamma 23.96
_space_group_name_H-M_alt 'P 1'
_space_group_IT_number 1
_space_group_name_Hall 'P 1'
loop_
_atom_site_label
_atom_site_type_symbol
_atom_site_fract_x
_atom_site_fract_y
_atom_site_fract_z
_atom_site_occupancy
Sm1 Sm 0.042 0.042 0.186 1
Sm2 Sm 0.311 0.311 0.891 1
Sm3 Sm 0.320 0.320 0.460 1
Sm4 Sm 0.680 0.680 0.540 1
Sm5 Sm 0.689 0.689 0.109 1
Sm6 Sm 0.958 0.958 0.814 1
Mg1 Mg 0.399 0.399 0.238 1
Mg2 Mg 0.601 0.601 0.762 1
Tl1 Tl 0.000 0.000 0.500 1
# **Total magnetization**: 0.000 μB/atom

---

Arrangement ii

# PBE Sm6Mg2Tl, relaxed
data_Sm6Mg2Tl
_cell_length_a 9.464
_cell_length_b 9.464
_cell_length_c 3.501
_cell_angle_alpha 100.65
_cell_angle_beta 100.65
_cell_angle_gamma 65.23
_space_group_name_H-M_alt 'P 1'
_space_group_IT_number 1
_space_group_name_Hall 'P 1'
loop_
_atom_site_label
_atom_site_type_symbol
_atom_site_fract_x
_atom_site_fract_y
_atom_site_fract_z
_atom_site_occupancy
Sm1 Sm 0.161 0.487 0.325 1
Sm2 Sm 0.186 0.814 0.000 1
Sm3 Sm 0.487 0.161 0.325 1
Sm4 Sm 0.513 0.839 0.675 1
Sm5 Sm 0.814 0.186 0.000 1
Sm6 Sm 0.839 0.513 0.675 1
Mg1 Mg 0.157 0.157 0.659 1
Mg2 Mg 0.843 0.843 0.341 1
Tl1 Tl 0.500 0.500 0.500 1
# **Total magnetization**: 0.000 μB/atom

---

Here is how they stack up, most stable first: arrangement i, arrangement ii.

---

Arrangement i

# PBE Sm6MgTl5, relaxed
data_Sm6MgTl5
_cell_length_a 9.462
_cell_length_b 9.462
_cell_length_c 9.462
_cell_angle_alpha 146.47
_cell_angle_beta 131.97
_cell_angle_gamma 59.84
_space_group_name_H-M_alt 'P 1'
_space_group_IT_number 1
_space_group_name_Hall 'P 1'
loop_
_atom_site_label
_atom_site_type_symbol
_atom_site_fract_x
_atom_site_fract_y
_atom_site_fract_z
_atom_site_occupancy
Sm1 Sm 0.080 0.331 0.748 1
Sm2 Sm 0.245 0.000 0.245 1
Sm3 Sm 0.417 0.669 0.748 1
Sm4 Sm 0.583 0.331 0.252 1
Sm5 Sm 0.755 0.000 0.755 1
Sm6 Sm 0.920 0.669 0.252 1
Mg1 Mg 0.500 0.500 0.000 1
Tl1 Tl 0.000 0.500 0.500 1
Tl2 Tl 0.167 0.167 0.000 1
Tl3 Tl 0.342 0.842 0.500 1
Tl4 Tl 0.658 0.158 0.500 1
Tl5 Tl 0.833 0.833 0.000 1
# **Total magnetization**: 0.000 μB/atom

---

Arrangement ii

# PBE Sm6MgTl5, relaxed
data_Sm6MgTl5
_cell_length_a 7.645
_cell_length_b 7.645
_cell_length_c 6.553
_cell_angle_alpha 98.40
_cell_angle_beta 98.40
_cell_angle_gamma 97.24
_space_group_name_H-M_alt 'P 1'
_space_group_IT_number 1
_space_group_name_Hall 'P 1'
loop_
_atom_site_label
_atom_site_type_symbol
_atom_site_fract_x
_atom_site_fract_y
_atom_site_fract_z
_atom_site_occupancy
Sm1 Sm 0.073 0.410 0.742 1
Sm2 Sm 0.237 0.237 0.233 1
Sm3 Sm 0.410 0.073 0.742 1
Sm4 Sm 0.590 0.927 0.258 1
Sm5 Sm 0.763 0.763 0.767 1
Sm6 Sm 0.927 0.590 0.258 1
Mg1 Mg 0.500 0.500 0.000 1
Tl1 Tl 0.000 0.000 0.500 1
Tl2 Tl 0.187 0.813 0.000 1
Tl3 Tl 0.349 0.651 0.500 1
Tl4 Tl 0.651 0.349 0.500 1
Tl5 Tl 0.813 0.187 0.000 1
# **Total magnetization**: 0.000 μB/atom

---

Here is how they stack up, most stable first: arrangement i, arrangement ii.

---

Arrangement i

# PBE Sm8MgTl2, relaxed
data_Sm8MgTl2
_cell_length_a 8.766
_cell_length_b 8.766
_cell_length_c 8.787
_cell_angle_alpha 119.63
_cell_angle_beta 119.63
_cell_angle_gamma 36.66
_space_group_name_H-M_alt 'P 1'
_space_group_IT_number 1
_space_group_name_Hall 'P 1'
loop_
_atom_site_label
_atom_site_type_symbol
_atom_site_fract_x
_atom_site_fract_y
_atom_site_fract_z
_atom_site_occupancy
Sm1 Sm 0.066 0.066 0.222 1
Sm2 Sm 0.136 0.136 0.683 1
Sm3 Sm 0.320 0.320 0.557 1
Sm4 Sm 0.409 0.409 0.052 1
Sm5 Sm 0.591 0.591 0.948 1
Sm6 Sm 0.680 0.680 0.443 1
Sm7 Sm 0.864 0.864 0.317 1
Sm8 Sm 0.934 0.934 0.778 1
Mg1 Mg 0.500 0.500 0.500 1
Tl1 Tl 0.229 0.229 0.127 1
Tl2 Tl 0.771 0.771 0.873 1
# **Total magnetization**: 0.000 μB/atom

---

Arrangement ii

# PBE Sm8MgTl2, relaxed
data_Sm8MgTl2
_cell_length_a 9.518
_cell_length_b 9.518
_cell_length_c 7.214
_cell_angle_alpha 98.92
_cell_angle_beta 98.92
_cell_angle_gamma 32.51
_space_group_name_H-M_alt 'P 1'
_space_group_IT_number 1
_space_group_name_Hall 'P 1'
loop_
_atom_site_label
_atom_site_type_symbol
_atom_site_fract_x
_atom_site_fract_y
_atom_site_fract_z
_atom_site_occupancy
Sm1 Sm 0.032 0.032 0.242 1
Sm2 Sm 0.178 0.178 0.770 1
Sm3 Sm 0.336 0.336 0.564 1
Sm4 Sm 0.409 0.409 0.052 1
Sm5 Sm 0.591 0.591 0.948 1
Sm6 Sm 0.664 0.664 0.436 1
Sm7 Sm 0.822 0.822 0.230 1
Sm8 Sm 0.968 0.968 0.758 1
Mg1 Mg 0.500 0.500 0.500 1
Tl1 Tl 0.208 0.208 0.215 1
Tl2 Tl 0.792 0.792 0.785 1
# **Total magnetization**: 0.000 μB/atom

---

Here is how they stack up, most stable first: arrangement i, arrangement ii.